[1]
Material: Al2TcGeTe
Method: DFT, GGA-PBEsol
State: relaxed

a = 4.666 Å, b = 4.666 Å, c = 5.375 Å
α = 90.00°, β = 90.00°, γ = 90.00°
Each line ends with the local moment (μB).
Fractional positions:
Ge (0.000, 0.000, 0.000)  0.02
Al (0.000, 0.500, 0.000)  -0.01
Al (0.500, 0.000, 0.000)  -0.01
Te (0.000, 0.000, 0.500)  -0.01
Tc (0.500, 0.500, 0.500)  2.98

## Properties
E: -4.32 eV/atom
E_form (uncorrected): 1.26 eV per atom
space group: No. 123

[2]
Material: Al2GeTe
Method: DFT, GGA-PBEsol
State: relaxed

a = 5.964 Å, b = 5.964 Å, c = 7.310 Å
α = 114.07°, β = 114.07°, γ = 90.00°
Fractional positions:
Te (0.000, 0.000, 0.000)
Te (0.250, 0.750, 0.500)
Ge (0.500, 0.500, 0.000)
Ge (0.750, 0.250, 0.500)
Al (0.125, 0.167, 0.750)
Al (0.833, 0.375, 0.250)
Al (0.417, 0.875, 0.250)
Al (0.625, 0.583, 0.750)

## Properties
E: -4.31 eV/atom
E_form (uncorrected): -0.15 eV per atom
space group: No. 122

[3]
Material: Ti2AlGe3
Method: DFT, GGA-PBEsol
State: relaxed

a = 3.662 Å, b = 3.653 Å, c = 7.187 Å
α = 104.72°, β = 90.00°, γ = 90.00°
Fractional positions:
Al (0.500, 0.249, 0.497)
Ge (0.500, 0.567, 0.135)
Ge (0.000, 0.751, 0.503)
Ge (0.000, 0.433, 0.866)
Ti (0.000, 0.098, 0.196)
Ti (0.500, 0.902, 0.803)

## Properties
energy relative to the elements: -0.54 eV per atom
E: -6.47 eV/atom
space group: No. 38

V per entry: 23.4 26.5 15.5 Å³ per atom